VASP calculation (PBE) on crystalline GaAs2O6 at its relaxed geometry.

Calculated values
E_form (uncorrected)	-25.15	kcal/mol of atoms

Lattice parameters (Å, degrees): 5.1397 5.1397 5.5875 62.62 62.62 60.00
Fractional positions:
O 0.1337 0.6994 0.6993
O 0.3309 0.5841 0.1899
O 0.4677 0.1337 0.6993
O 0.6994 0.4677 0.6993
O 0.8951 0.3309 0.1899
O 0.5841 0.8951 0.1899
Ga 0.3163 0.3163 0.0510
As 0.7172 0.7172 0.8485
As 0.5213 0.5213 0.4360